No. 1
The following is a PBE calculation of an optimized crystal structure of TiMoC2, from the Alexandria database.

**Energy relative to the elements**: -114.5 kJ/mol of formula units
**Offset from the most stable computed form**: 15.8 kJ/mol of atoms

```
data_TiMoC2
_chemical_formula_sum 'Ti2 Mo2 C4'
_symmetry_space_group_name_H-M 'P m m n'
_symmetry_Int_Tables_number 59
_cell_length_a 3.020
_cell_length_b 5.165
_cell_length_c 5.294
_cell_angle_alpha 90.00
_cell_angle_beta 90.00
_cell_angle_gamma 90.00
loop_
_symmetry_equiv_pos_as_xyz
'x,y,z'
'-x,-y,-z'
'-x+1/2,-y+1/2,z'
'x+1/2,y+1/2,-z'
'x+1/2,-y,-z'
'-x+1/2,y,z'
'-x,y+1/2,-z'
'x,-y+1/2,z'
loop_
_atom_site_label
_atom_site_fract_x
_atom_site_fract_y
_atom_site_fract_z
Ti1 0.250 0.250 0.079
Mo1 0.250 0.750 0.415
C1 0.250 0.001 0.746
```

---

No. 2
The following is a PBE calculation of an optimized crystal structure of Pm2PrPd, from the Alexandria database.

**Energy relative to the elements**: -105.8 kJ/mol of formula units
**Offset from the most stable computed form**: 13.3 kJ/mol of atoms

```
data_Pm2PrPd
_chemical_formula_sum 'Pm6 Pr3 Pd3'
_symmetry_space_group_name_H-M 'R 3 m'
_symmetry_Int_Tables_number 160
_symmetry_space_group_name_Hall 'R 3 -2"'
_cell_length_a 3.9371
_cell_length_b 3.9371
_cell_length_c 28.5814
_cell_angle_alpha 90.00
_cell_angle_beta 90.00
_cell_angle_gamma 120.00
loop_
_atom_site_label
_atom_site_fract_x
_atom_site_fract_y
_atom_site_fract_z
Pm1 0.0000 0.0000 0.0000
Pm2 0.0000 0.0000 0.2076
Pr1 0.0000 0.0000 0.4378
Pd1 0.0000 0.0000 0.6035
```

---

No. 3
The following is a PBE calculation of an optimized crystal structure of Hf2CuWI, from the Alexandria database.

**Uncorrected formation energy**: 1.034 eV/atom

```
data_Hf2CuWI
_chemical_formula_sum 'Hf2 Cu1 W1 I1'
_symmetry_space_group_name_H-M 'P 4/m m m'
_symmetry_Int_Tables_number 123
_symmetry_space_group_name_Hall '-P 4 2'
_cell_length_a 5.080
_cell_length_b 5.080
_cell_length_c 4.897
_cell_angle_alpha 90.00
_cell_angle_beta 90.00
_cell_angle_gamma 90.00
loop_
_atom_site_label
_atom_site_fract_x
_atom_site_fract_y
_atom_site_fract_z
Hf1 0.000 0.500 0.000
Cu1 0.000 0.000 0.500
W1 0.000 0.000 0.000
I1 0.500 0.500 0.500
```

---

Final energy, respectively: -9.59, -5.14, -6.67 eV/atom.
Total magnetization, respectively: 0.00, 0.00, 0.00 μB/atom.